KCa2InAg: optimized geometry, PBE.

Cell: 6.1150 5.3979 6.1150 Å, 90.00 90.00 90.00°
Closest atoms and distances in Å follow each position.
Atoms (fractional coordinates):
In 0.0000 0.0000 0.0000  2 Ag 2.70
Ca 0.5000 0.0000 0.0000  2 In 3.06
Ca 0.0000 0.0000 0.5000  2 In 3.06
K 0.5000 0.5000 0.5000  8 Ca 4.08, 4 Ag 4.32
Ag 0.0000 0.5000 0.0000  2 In 2.70

Values from the calculation:
The space group is P4/mmm, No. 123. The formation energy is 84 meV per atom. The total energy is -10.27 eV for the cell shown. As for the density: 2.81 g cm⁻³.



Pu8AgPt5: optimized geometry, PBE.

Cell: 7.5855 7.5855 7.5855 Å, 109.37 109.68 109.37°
Closest atoms and distances in Å follow each position.
Atoms (fractional coordinates):
Pu 0.1219 0.7576 0.5143  5 Pt 2.89-3.18, 1 Ag 3.22
Pt 0.5000 0.0000 0.5000  8 Pu 2.91-3.11
Pu 0.1219 0.7606 0.0280  5 Pt 2.90-3.15, 1 Ag 3.03, 1 Pu 3.19
Pt 0.7496 0.6176 0.6277  8 Pu 2.89-3.18
Pt 0.8681 0.8781 0.2504  8 Pu 2.89-3.18
Pu 0.6357 0.3924 0.8781  5 Pt 2.89-3.18, 1 Ag 3.22
Pt 0.3723 0.1219 0.9900  8 Pu 2.89-3.18
Pu 0.9720 0.0939 0.7326  5 Pt 2.90-3.15, 1 Ag 3.03, 1 Pu 3.19
Pu 0.4857 0.6076 0.2432  5 Pt 2.89-3.18, 1 Ag 3.22
Ag 0.2500 0.5000 0.7500  8 Pu 3.03-3.22
Pu 0.6387 0.9061 0.8781  5 Pt 2.90-3.15, 1 Ag 3.03, 1 Pu 3.19
Pu 0.7568 0.2424 0.3643  5 Pt 2.89-3.18, 1 Ag 3.22
Pu 0.2674 0.2394 0.3613  5 Pt 2.90-3.15, 1 Ag 3.03, 1 Pu 3.19
Pt 0.0100 0.3824 0.1319  8 Pu 2.89-3.18

Values from the calculation:
The space group is I-4, No. 82. The formation energy is -540 meV per atom. The total energy is -155.27 eV for the cell shown. As for the density: 15.00 g cm⁻³.



Na3U2CrSe6: optimized geometry, PBE.

Cell: 7.0332 7.0332 7.3976 Å, 99.11 99.11 120.04°
Closest atoms and distances in Å follow each position.
Atoms (fractional coordinates):
Cr 0.0000 0.0000 0.0000  6 Se 2.76-2.78
Se 0.2476 0.2476 0.7747  1 Cr 2.76, 2 U 2.86, 3 Na 3.01-3.09
Se 0.0755 0.3991 0.2264  1 Cr 2.78, 2 U 2.86, 3 Na 3.00-3.08
Se 0.6009 0.9245 0.7736  1 Cr 2.78, 2 U 2.86, 3 Na 3.00-3.08
Na 0.5000 0.5000 0.5000  6 Se 3.00-3.09
Se 0.7524 0.7524 0.2253  1 Cr 2.76, 2 U 2.86, 3 Na 3.01-3.09
Se 0.3991 0.0755 0.2264  1 Cr 2.78, 2 U 2.86, 3 Na 3.00-3.08
Na 0.8326 0.1674 0.5000  6 Se 3.00-3.08
U 0.6667 0.3333 0.0000  6 Se 2.86
U 0.3333 0.6667 0.0000  6 Se 2.86
Na 0.1674 0.8326 0.5000  6 Se 3.00-3.08
Se 0.9245 0.6009 0.7736  1 Cr 2.78, 2 U 2.86, 3 Na 3.00-3.08

Values from the calculation:
The space group is C2/m, No. 12. For the energy relative to the elements, uncorrected, the calculation gives -1.05 eV per atom. The total energy is -69.67 eV for the cell shown. As for the density: 5.92 g cm⁻³.



SrVPbS4: optimized geometry, PBE.

Cell: 6.8009 6.6854 8.2359 Å, 90.00 107.26 90.00°
Closest atoms and distances in Å follow each position.
Atoms (fractional coordinates):
S 0.6069 0.2500 0.4252  1 V 2.18
Pb 0.7544 0.7500 0.9489  5 S 2.96-3.05
S 0.9958 0.0025 0.7656  1 V 2.23
S 0.0042 0.9975 0.2344  1 V 2.23
Sr 0.7798 0.7500 0.4546  6 S 2.99-3.16
S 0.3931 0.7500 0.5748  1 V 2.18
Pb 0.2456 0.2500 0.0511  5 S 2.96-3.05
S 0.5718 0.2500 0.8667  1 V 2.18
S 0.0042 0.5025 0.2344  1 V 2.23
S 0.9958 0.4975 0.7656  1 V 2.23
V 0.2348 0.7500 0.3028  4 S 2.18-2.23
V 0.7652 0.2500 0.6972  4 S 2.18-2.23
S 0.4282 0.7500 0.1333  1 V 2.18
Sr 0.2202 0.2500 0.5454  6 S 2.99-3.16

Values from the calculation:
The space group is P2_1/m, No. 11. For the energy relative to the elements, uncorrected, the calculation gives -1.04 eV per atom. The total energy is -76.62 eV for the cell shown. As for the density: 4.40 g cm⁻³.